Material: Dy3Tm2Lu2Ni2Te2
Method: DFT, GGA-PBE
State: relaxed

Output
* calculated density: 9.179 g/cm3
* uncorrected energy: -5.162 eV/atom
* symmetry: Imm2, No. 44

Unit cell a=9.2482 b=9.2482 c=9.2482 alpha=156.07 beta=67.09 gamma=118.37
Atoms (fractional coordinates):
Dy 0.0000 0.0000 0.0000
Dy 0.0828 0.7295 0.3533
Dy 0.3762 0.7295 0.6467
Tm 0.4476 0.5823 0.8654
Tm 0.7169 0.5823 0.1346
Lu 0.0617 0.3765 0.6853
Lu 0.6912 0.3765 0.3147
Ni 0.3051 0.0686 0.2365
Ni 0.8322 0.0686 0.7635
Te 0.3394 0.3394 0.0000
Te 0.7331 0.2331 0.5000